# 1
Density functional theory data (PBE-GGA) for a geometry-optimized HfTiCdHg structure.

```
4
Lattice="3.021 0.000 0.000 0.000 3.021 0.000 0.000 0.000 9.036" Properties=species:S:1:pos:R:3 pbc="T T T"
Hf 0.000 0.000 0.000
Ti 1.510 1.510 2.037
Cd 0.000 0.000 4.291
Hg 1.510 1.510 6.685
```

Summary:
Formation enthalpy at 0 K (meV per atom): -37
Space-group type: P4mm, No. 99



# 2
Density functional theory data (PBE-GGA) for a geometry-optimized Sr3Be structure.

```
4
Lattice="5.584 0.000 0.000 0.000 5.584 0.000 0.000 0.000 4.978" Properties=species:S:1:pos:R:3 pbc="T T T"
Sr 0.000 0.000 0.000
Sr 0.000 2.792 2.489
Sr 2.792 0.000 2.489
Be 2.792 2.792 0.000
```

Summary:
Formation enthalpy at 0 K (meV per atom): 500
Space-group type: P4/mmm, No. 123



# 3
Density functional theory data (PBE-GGA) for a geometry-optimized SrBeSeN2 structure.

```
5
Lattice="4.727 0.000 0.000 0.000 4.727 0.000 0.000 0.000 6.256" Properties=species:S:1:pos:R:3 pbc="T T T"
Sr 0.000 0.000 0.000
Be 2.364 2.364 3.128
Se 0.000 0.000 3.128
N 0.000 2.364 0.000
N 2.364 0.000 0.000
```

Summary:
Final energy (eV per atom): -3.323
Space-group type: P4/mmm, No. 123



# 4
Density functional theory data (PBE-GGA) for a geometry-optimized ZrPaS4 structure.

```
6
Lattice="4.440 -4.467 0.000 4.440 4.467 0.000 0.000 0.000 3.871" Properties=species:S:1:pos:R:3 pbc="T T T"
Zr 0.000 0.000 0.000
Pa 4.440 0.000 1.936
S 1.714 0.000 1.936
S 4.440 1.843 0.000
S 4.440 -1.843 0.000
S 7.166 0.000 1.936
```

Summary:
Final energy (eV per atom): -7.194
Space-group type: Cmmm, No. 65



# 5
Density functional theory data (PBE-GGA) for a geometry-optimized CoTc2W structure.

```
4
Lattice="2.691 0.000 0.000 0.000 2.691 0.000 0.000 0.000 7.740" Properties=species:S:1:pos:R:3 pbc="T T T"
Co 0.000 0.000 0.000
Tc 1.345 1.345 1.751
Tc 1.345 1.345 5.989
W 0.000 0.000 3.870
```

Summary:
Formation enthalpy at 0 K (meV per atom): 170
Space-group type: P4/mmm, No. 123



# 6
Density functional theory data (PBE-GGA) for a geometry-optimized LaCI3 structure.

```
5
Lattice="5.157 0.000 0.000 0.000 5.157 0.000 0.000 0.000 5.157" Properties=species:S:1:pos:R:3 pbc="T T T"
La 0.000 0.000 0.000
C 2.579 2.579 2.579
I 0.000 2.579 2.579
I 2.579 0.000 2.579
I 2.579 2.579 0.000
```

Summary:
Final energy (eV per atom): -3.366
Space-group type: Pm-3m, No. 221



# 7
Density functional theory data (PBE-GGA) for a geometry-optimized Cd4AgHg6 structure.

```
11
Lattice="4.109 -4.076 0.000 4.109 4.076 0.000 -3.690 0.000 8.563" Properties=species:S:1:pos:R:3 pbc="T T T"
Cd 0.000 0.000 0.000
Cd 2.435 2.421 4.718
Cd 1.061 0.000 8.560
Cd 2.435 -2.421 4.718
Ag 6.501 0.000 2.325
Hg -1.328 1.686 7.799
Hg 0.801 0.000 5.419
Hg 4.453 2.035 2.372
Hg -1.328 -1.686 7.799
Hg 4.109 0.000 5.542
Hg 4.453 -2.035 2.372
```

Summary:
Formation enthalpy at 0 K (meV per atom): 33
Space-group type: Cm, No. 8



# 8
Density functional theory data (PBE-GGA) for a geometry-optimized CdPC2 structure.

```
8
Lattice="-2.474 2.474 4.073 2.474 -2.474 4.073 2.474 2.474 -4.073" Properties=species:S:1:pos:R:3 pbc="T T T"
Cd 0.000 0.000 0.000
Cd 0.000 2.474 2.036
P 2.474 0.000 2.036
P 0.000 0.000 4.073
C 1.237 -0.785 3.055
C 1.689 1.237 1.018
C 1.237 3.260 -1.018
C 0.785 1.237 5.091
```

Summary:
Formation enthalpy at 0 K (meV per atom): 810
Space-group type: I-42d, No. 122



# 9
Density functional theory data (PBE-GGA) for a geometry-optimized UMnSi2 structure.

```
4
Lattice="1.413 0.816 8.664 -1.413 0.816 8.664 0.000 -1.632 8.664" Properties=species:S:1:pos:R:3 pbc="T T T"
U 0.000 0.000 0.000
Mn 0.000 0.000 12.996
Si 0.000 0.000 6.112
Si 0.000 0.000 19.880
```

Summary:
Final energy (eV per atom): -7.858
Space-group type: R-3m, No. 166



# 10
Density functional theory data (PBE-GGA) for a geometry-optimized NdPu2Tl structure.

```
4
Lattice="4.628 0.000 0.000 0.000 4.628 0.000 0.000 0.000 5.239" Properties=species:S:1:pos:R:3 pbc="T T T"
Nd 0.000 0.000 0.000
Pu 0.000 2.314 2.619
Pu 2.314 0.000 2.619
Tl 2.314 2.314 0.000
```

Summary:
Formation enthalpy at 0 K (meV per atom): -24
Space-group type: P4/mmm, No. 123



# 11
Density functional theory data (PBE-GGA) for a geometry-optimized As2PtI structure.

```
4
Lattice="1.983 1.145 7.071 -1.983 1.145 7.071 0.000 -2.289 7.071" Properties=species:S:1:pos:R:3 pbc="T T T"
As 0.000 0.000 4.655
As 0.000 0.000 16.556
Pt 0.000 0.000 10.606
I 0.000 0.000 0.000
```

Summary:
Final energy (eV per atom): -4.345
Space-group type: R-3m, No. 166



# 12
Density functional theory data (PBE-GGA) for a geometry-optimized BaHF3 structure.

```
20
Lattice="8.081 0.000 0.000 0.000 4.702 0.000 -7.974 0.000 8.186" Properties=species:S:1:pos:R:3 pbc="T T T"
Ba -0.260 0.806 2.119
Ba -4.247 1.545 6.212
Ba 4.354 3.157 1.974
Ba 0.367 3.896 6.067
H 1.546 2.700 0.552
H -2.441 4.353 4.645
H 2.549 0.349 3.540
H -1.439 2.002 7.633
F 0.724 3.495 0.525
F -3.263 3.558 4.618
F -1.194 3.148 2.709
F -5.181 3.904 6.802
F -1.679 0.508 4.764
F 2.308 1.843 0.671
F -2.200 2.859 7.514
F 1.787 4.194 3.421
F 5.288 0.797 1.384
F 1.301 1.553 5.477
F 3.370 1.144 3.568
F -0.617 1.207 7.661
```

Summary:
Final energy (eV per atom): -5.132
Space-group type: P2_1/c, No. 14



# 13
Density functional theory data (PBE-GGA) for a geometry-optimized NiH20C8N10 structure.

```
78
Lattice="6.762 0.000 0.000 0.000 9.088 0.000 -1.631 0.000 11.286" Properties=species:S:1:pos:R:3 pbc="T T T"
Ni 0.000 0.000 0.000
Ni -0.815 4.544 5.643
H -0.481 1.615 4.612
H -1.296 2.930 10.255
H -0.635 0.749 9.100
H 0.180 3.795 3.457
H 0.630 4.809 1.510
H -0.186 8.824 7.153
H 0.358 1.424 10.873
H 1.174 3.120 5.230
H 0.839 5.429 10.787
H 1.654 8.203 5.144
H 1.297 6.479 8.142
H 2.113 7.154 2.499
H 1.831 6.443 5.318
H 1.015 7.189 10.960
H 1.420 4.809 8.750
H 2.236 8.823 3.107
H 1.535 0.985 9.065
H 2.350 3.559 3.422
H 2.268 1.527 5.013
H 1.453 3.017 10.656
H 3.678 6.071 0.630
H 2.863 7.562 6.273
H 2.781 5.529 7.864
H 3.597 8.104 2.221
H 2.896 0.265 8.179
H 3.711 4.279 2.536
H 4.116 1.899 0.325
H 3.301 2.645 5.968
H 3.019 1.935 8.786
H 3.834 2.609 3.143
H 3.477 0.885 6.142
H 4.292 3.659 0.499
H 3.958 5.968 6.056
H 4.773 7.664 0.413
H 5.317 0.264 4.132
H 4.502 4.280 9.775
H 4.951 5.293 7.829
H 5.767 8.340 2.186
H 6.428 6.159 1.031
H 5.613 7.474 6.674
C -0.090 0.922 2.719
C -0.906 3.622 8.361
C 1.535 1.996 1.426
C 0.720 2.548 7.069
C 1.570 6.232 10.938
C 2.385 7.401 5.296
C 1.984 5.734 8.580
C 2.799 7.899 2.937
C 2.332 1.189 8.348
C 3.148 3.355 2.705
C 2.746 1.688 5.990
C 3.561 2.857 0.347
C 4.411 6.540 4.216
C 3.596 7.093 9.859
C 6.037 5.467 2.924
C 5.222 8.166 8.567
N -0.217 5.353 1.643
N -1.032 8.280 7.286
N -0.359 4.584 3.843
N -1.174 9.049 9.486
N 0.813 1.921 2.564
N -0.002 2.623 8.207
N 1.290 1.298 0.316
N 0.474 3.246 5.959
N 1.771 1.634 7.075
N 2.586 2.911 1.432
N 2.545 6.178 9.853
N 3.360 7.455 4.211
N 4.657 5.842 5.327
N 3.842 7.790 10.970
N 5.134 6.465 3.078
N 4.319 7.168 8.721
N 6.306 0.040 1.799
N 5.490 4.504 7.442
N 6.164 0.809 3.999
N 5.349 3.735 9.642
```

Summary:
Final energy (eV per atom): -6.061
Space-group type: P2_1/c, No. 14



# 14
Density functional theory data (PBE-GGA) for a geometry-optimized Ce2Pd6Pb structure.

```
9
Lattice="5.756 0.000 0.000 -2.878 4.985 0.000 0.000 0.000 6.384" Properties=species:S:1:pos:R:3 pbc="T T T"
Ce 0.000 3.323 1.366
Ce 2.878 1.662 5.018
Pd 0.000 1.743 4.282
Pd -1.369 4.113 4.282
Pd 1.509 0.871 2.101
Pd 1.369 4.113 4.282
Pd 4.246 0.871 2.101
Pd 2.878 3.242 2.101
Pb 0.000 0.000 0.000
```

Summary:
Formation enthalpy at 0 K (meV per atom): -594
Space-group type: P-3m1, No. 164



Number 1: size of the total moment 0.000 μB/cell. Number 2: size of the total moment 0.503 μB/cell. Number 3: size of the total moment 4.477 μB/cell. Number 4: size of the total moment 0.903 μB/cell. Number 5: size of the total moment 0.001 μB/cell. Number 6: size of the total moment 0.003 μB/cell. Number 7: size of the total moment 0.000 μB/cell. Number 8: size of the total moment 1.140 μB/cell. Number 9: size of the total moment 1.679 μB/cell. Number 10: size of the total moment 12.176 μB/cell. Number 11: size of the total moment 0.000 μB/cell. Number 12: size of the total moment 0.202 μB/cell. Number 13: size of the total moment 0.126 μB/cell. Number 14: size of the total moment 1.405 μB/cell.